DFT (PBE) results for RbNaSb2Te after structural relaxation.

Geometry as POSCAR:
```
RbNaSb2Te
1.0
-0.865 5.338 1.425
-5.510 -0.725 -0.628
-0.432 -1.562 5.591
Sb Te Rb Na
2 1 1 1
Direct
0.000 0.500 0.000 Sb
0.500 0.000 0.000 Sb
0.000 0.000 0.500 Te
0.500 0.500 0.500 Rb
0.000 0.000 0.000 Na
```

Output
space group: P4/mmm (123)
energy: -2.562 eV/atom
volume: 182.07 Å³/f.u.
total moment: 0.00 μB per formula unit
formation energy (no corrections): 0.17 eV per atom
Fermi-level density of states: 3.96 states/eV/cell

DFT (PBE) results for RbMgTl2 after structural relaxation.

Geometry as POSCAR:
```
RbMgTl2
1.0
0.000 4.030 4.030
4.030 0.000 4.030
4.030 4.030 0.000
Tl Mg Rb
2 1 1
Direct
0.250 0.250 0.250 Tl
0.750 0.750 0.750 Tl
0.000 0.000 0.000 Mg
0.500 0.500 0.500 Rb
```

Output
space group: Fm-3m (225)
energy: -1.752 eV/atom
volume: 130.94 Å³/f.u.
total moment: 0.00 μB per formula unit
Fermi-level density of states: 4.46 states/eV/cell